#a
Computed, not measured: an optimized crystal structure of Tb2Sm7Dy at the GGA-PBE level of DFT.

Summary:
Magnetization, μB per formula unit: 0.00
Space group: No. 65
N(E_F), states/eV/cell: 14.7

a b c (Å): 5.4811 9.4992 9.4993
angles (deg): 125.13 90.00 90.00
With the nearest neighbours (Å) after each atom.
Element x y z (fractional)
Sm1 0.5000 0.9324 0.7104  2 Sm 3.13-3.38, 2 Tb 3.22-3.48
Sm2 0.5000 0.7104 0.9324  2 Sm 3.13-3.38, 2 Tb 3.22-3.48
Sm3 0.5000 0.5000 0.5000  4 Sm 3.38, 2 Tb 3.45
Sm4 0.5000 0.0676 0.2896  2 Sm 3.13-3.38, 2 Tb 3.22-3.48
Sm5 0.0000 0.7928 0.2072  2 Tb 3.12, 1 Dy 3.49
Sm6 0.0000 0.2072 0.7928  2 Tb 3.12, 1 Dy 3.49
Sm7 0.5000 0.2896 0.0676  2 Sm 3.13-3.38, 2 Tb 3.22-3.48
Tb1 0.5000 0.7044 0.2956  7 Sm 3.12-3.48
Tb2 0.5000 0.2956 0.7044  7 Sm 3.12-3.48
Dy1 0.0000 0.0000 0.0000  10 Sm 3.49-3.67

#b
Computed, not measured: an optimized crystal structure of Tb2Sm7Dy at the GGA-PBE level of DFT.

Summary:
Magnetization, μB per formula unit: 0.00
Space group: No. 2
N(E_F), states/eV/cell: 14.8

a b c (Å): 5.7107 9.1041 10.1516
angles (deg): 125.73 73.74 128.71
With the nearest neighbours (Å) after each atom.
Element x y z (fractional)
Sm1 0.2035 0.6066 0.8057  3 Sm 3.21-3.59, 2 Tb 3.40
Sm2 0.6984 0.0989 0.8017  6 Sm 3.21-3.59
Sm3 0.5000 0.5000 0.0000  2 Dy 3.55, 10 Sm 3.72-3.90, 2 Tb 3.86
Sm4 0.7965 0.3934 0.1943  3 Sm 3.21-3.59, 2 Tb 3.40
Sm5 0.3016 0.9011 0.1983  6 Sm 3.21-3.59
Sm6 0.8576 0.0697 0.4234  6 Sm 3.40-3.60, 4 Tb 3.52-3.60
Sm7 0.1424 0.9303 0.5766  6 Sm 3.40-3.60, 4 Tb 3.52-3.60
Tb1 0.3530 0.5627 0.4196  8 Sm 3.40-3.60, 2 Tb 3.59-3.60
Tb2 0.6470 0.4373 0.5804  8 Sm 3.40-3.60, 2 Tb 3.59-3.60
Dy1 0.0000 0.0000 0.0000  12 Sm 3.55-3.88, 2 Tb 3.85

Quick one: most stable of them? #b

#a
Computed, not measured: an optimized crystal structure of Tb5SmDy at the GGA-PBE level of DFT.

Summary:
Magnetization, μB per formula unit: 0.00
Space group: No. 15
N(E_F), states/eV/cell: 16.1

a b c (Å): 6.7783 6.7783 13.6589
angles (deg): 61.85 61.85 59.80
With the nearest neighbours (Å) after each atom.
Element x y z (fractional)
Tb1 0.1625 0.8375 0.7500  1 Sm 2.98, 2 Tb 2.99
Tb2 0.8375 0.1625 0.2500  1 Sm 2.98, 2 Tb 2.99
Tb3 0.3132 0.3436 0.0008  1 Sm 3.29, 4 Tb 3.30-3.68
Tb4 0.6868 0.6564 0.9992  1 Sm 3.29, 4 Tb 3.30-3.68
Tb5 0.3939 0.1604 0.2542  2 Tb 2.99-3.30, 1 Dy 3.26
Tb6 0.1604 0.3939 0.7542  2 Tb 2.99-3.30, 1 Dy 3.26
Tb7 0.6061 0.8396 0.7458  2 Tb 2.99-3.30, 1 Dy 3.26
Tb8 0.6564 0.6868 0.4992  1 Sm 3.29, 4 Tb 3.30-3.68
Tb9 0.8396 0.6061 0.2458  2 Tb 2.99-3.30, 1 Dy 3.26
Tb10 0.3436 0.3132 0.5008  1 Sm 3.29, 4 Tb 3.30-3.68
Sm1 0.2788 0.7212 0.2500  3 Tb 2.98-3.29
Sm2 0.7212 0.2788 0.7500  3 Tb 2.98-3.29
Dy1 0.0000 0.0000 0.0000  4 Tb 3.26-3.59
Dy2 0.0000 0.0000 0.5000  4 Tb 3.26-3.59

#b
Computed, not measured: an optimized crystal structure of Tb5SmDy at the GGA-PBE level of DFT.

Summary:
Magnetization, μB per formula unit: 0.00
Space group: No. 44
N(E_F), states/eV/cell: 9.5

a b c (Å): 6.1684 7.9805 7.7197
angles (deg): 121.12 113.55 90.00
With the nearest neighbours (Å) after each atom.
Element x y z (fractional)
Dy1 0.9346 0.0000 0.0000  2 Tb 2.97
Tb1 0.1683 0.5000 0.0000  1 Sm 2.90, 2 Tb 3.04
Tb2 0.4334 0.1785 0.0000  2 Tb 2.85-3.04, 1 Sm 3.04
Tb3 0.6772 0.7458 0.4916  1 Dy 2.97, 1 Tb 3.30, 1 Sm 3.31
Tb4 0.1856 0.2542 0.5084  1 Dy 2.97, 1 Tb 3.30, 1 Sm 3.31
Tb5 0.4334 0.8215 0.0000  2 Tb 2.85-3.04, 1 Sm 3.04
Sm1 0.6982 0.5000 0.0000  3 Tb 2.90-3.04

Quick one: most stable of them? #a

#a
Computed, not measured: an optimized crystal structure of TbSm3Dy6 at the GGA-PBE level of DFT.

Summary:
Magnetization, μB per formula unit: 0.00
Space group: No. 36
N(E_F), states/eV/cell: 28.5

a b c (Å): 6.2751 10.9601 10.9601
angles (deg): 119.77 90.00 90.00
With the nearest neighbours (Å) after each atom.
Element x y z (fractional)
Dy1 0.8940 0.0431 0.9569  1 Tb 3.36, 4 Sm 3.52-3.57, 2 Dy 3.54
Dy2 0.0426 0.7115 0.6195  4 Sm 3.40-3.69, 5 Dy 3.40-3.80
Dy3 0.1448 0.7229 0.2771  4 Dy 3.20-3.40, 2 Tb 3.40-3.51, 1 Sm 3.41
Dy4 0.8681 0.4665 0.0468  5 Dy 3.20-3.49, 2 Tb 3.29-3.49, 2 Sm 3.30-3.52
Dy5 0.6448 0.2771 0.7229  4 Dy 3.20-3.40, 2 Tb 3.40-3.51, 1 Sm 3.41
Dy6 0.3681 0.5335 0.9532  5 Dy 3.20-3.49, 2 Tb 3.29-3.49, 2 Sm 3.30-3.52
Dy7 0.5426 0.2885 0.3805  4 Sm 3.40-3.69, 5 Dy 3.40-3.80
Dy8 0.3681 0.0468 0.4665  5 Dy 3.20-3.49, 2 Tb 3.29-3.49, 2 Sm 3.30-3.52
Dy9 0.5426 0.6195 0.7115  4 Sm 3.40-3.69, 5 Dy 3.40-3.80
Dy10 0.3940 0.9569 0.0431  1 Tb 3.36, 4 Sm 3.52-3.57, 2 Dy 3.54
Dy11 0.8681 0.9532 0.5335  5 Dy 3.20-3.49, 2 Tb 3.29-3.49, 2 Sm 3.30-3.52
Dy12 0.0426 0.3805 0.2885  4 Sm 3.40-3.69, 5 Dy 3.40-3.80
Sm1 0.9601 0.0609 0.2844  1 Tb 3.26, 6 Dy 3.30-3.57
Sm2 0.0697 0.3890 0.6110  7 Dy 3.41-3.77, 1 Tb 3.59, 2 Sm 3.67
Sm3 0.9601 0.7156 0.9391  1 Tb 3.26, 6 Dy 3.30-3.57
Sm4 0.4601 0.2844 0.0609  1 Tb 3.26, 6 Dy 3.30-3.57
Sm5 0.4601 0.9391 0.7156  1 Tb 3.26, 6 Dy 3.30-3.57
Sm6 0.5697 0.6110 0.3890  7 Dy 3.41-3.77, 1 Tb 3.59, 2 Sm 3.67
Tb1 0.6351 0.7988 0.2012  3 Sm 3.26-3.59, 7 Dy 3.29-3.51
Tb2 0.1351 0.2012 0.7988  3 Sm 3.26-3.59, 7 Dy 3.29-3.51

#b
Computed, not measured: an optimized crystal structure of TbSm3Dy6 at the GGA-PBE level of DFT.

Summary:
Magnetization, μB per formula unit: 0.00
Space group: No. 12
N(E_F), states/eV/cell: 17.7

a b c (Å): 6.5939 9.6058 6.6331
angles (deg): 110.65 119.80 90.00
With the nearest neighbours (Å) after each atom.
Element x y z (fractional)
Dy1 0.6375 0.9223 0.2750  1 Tb 3.71, 9 Dy 3.84-4.08, 6 Sm 3.85-3.93
Dy2 0.4390 0.3093 0.3726  3 Dy 3.26-3.35, 3 Sm 3.28-3.35
Dy3 0.9336 0.3093 0.3726  3 Dy 3.26-3.35, 3 Sm 3.28-3.35
Dy4 0.0664 0.6907 0.6274  3 Dy 3.26-3.35, 3 Sm 3.28-3.35
Dy5 0.3625 0.0777 0.7250  1 Tb 3.71, 9 Dy 3.84-4.08, 6 Sm 3.85-3.93
Dy6 0.5610 0.6907 0.6274  3 Dy 3.26-3.35, 3 Sm 3.28-3.35
Sm1 0.9315 0.3036 0.8630  4 Dy 3.28-3.35, 2 Sm 3.32-3.45
Sm2 0.0685 0.6964 0.1370  4 Dy 3.28-3.35, 2 Sm 3.32-3.45
Sm3 0.0000 0.0000 0.0000  2 Sm 3.32, 4 Dy 3.32
Tb1 0.5000 0.5000 0.0000  10 Dy 3.71-3.72, 4 Sm 3.72

Quick one: most stable of them? #a

#a
Computed, not measured: an optimized crystal structure of Tb4Sm3Dy4 at the GGA-PBE level of DFT.

Summary:
Magnetization, μB per formula unit: 0.00
Space group: No. 71
N(E_F), states/eV/cell: 14.5

a b c (Å): 3.5405 11.2559 10.9349
angles (deg): 120.98 99.32 90.00
With the nearest neighbours (Å) after each atom.
Element x y z (fractional)
Dy1 0.5000 0.7889 0.0000  2 Tb 3.19, 2 Dy 3.54, 4 Sm 3.55
Dy2 0.5000 0.2111 0.0000  2 Tb 3.19, 2 Dy 3.54, 4 Sm 3.55
Dy3 0.7776 0.2776 0.5552  6 Tb 3.38-3.52, 2 Dy 3.54, 2 Sm 3.62
Dy4 0.2224 0.7224 0.4448  6 Tb 3.38-3.52, 2 Dy 3.54, 2 Sm 3.62
Sm1 0.1063 0.1063 0.2126  3 Sm 3.54-3.92, 6 Dy 3.55-3.62, 4 Tb 3.61
Sm2 0.0000 0.5000 0.0000  2 Sm 3.54, 4 Dy 3.70
Sm3 0.8937 0.8937 0.7874  3 Sm 3.54-3.92, 6 Dy 3.55-3.62, 4 Tb 3.61
Tb1 0.6705 0.4297 0.3410  4 Dy 3.19-3.52, 4 Tb 3.43-3.54
Tb2 0.3295 0.0887 0.6590  4 Dy 3.19-3.52, 4 Tb 3.43-3.54
Tb3 0.6705 0.9113 0.3410  4 Dy 3.19-3.52, 4 Tb 3.43-3.54
Tb4 0.3295 0.5703 0.6590  4 Dy 3.19-3.52, 4 Tb 3.43-3.54

#b
Computed, not measured: an optimized crystal structure of Tb4Sm3Dy4 at the GGA-PBE level of DFT.

Summary:
Magnetization, μB per formula unit: 0.00
Space group: No. 38
N(E_F), states/eV/cell: 17.5

a b c (Å): 5.6933 6.6603 10.5891
angles (deg): 90.00 90.00 115.30
With the nearest neighbours (Å) after each atom.
Element x y z (fractional)
Sm1 0.4070 0.8139 0.2942  5 Dy 3.34-3.69, 4 Tb 3.51-3.59, 1 Sm 3.62
Sm2 0.2546 0.5093 0.0000  7 Tb 3.57-3.76, 5 Dy 3.60-3.74, 2 Sm 3.62
Sm3 0.4070 0.8139 0.7058  5 Dy 3.34-3.69, 4 Tb 3.51-3.59, 1 Sm 3.62
Tb1 0.7533 0.5067 0.2115  4 Dy 3.29-3.49, 2 Tb 3.33-3.46, 4 Sm 3.51-3.62
Tb2 0.8892 0.7783 0.5000  3 Dy 3.27-3.36, 2 Tb 3.46, 4 Sm 3.59
Tb3 0.7533 0.5067 0.7885  4 Dy 3.29-3.49, 2 Tb 3.33-3.46, 4 Sm 3.51-3.62
Tb4 0.9582 0.9164 0.0000  2 Dy 3.07, 2 Tb 3.33
Dy1 0.5535 0.1069 0.0000  4 Tb 3.07-3.29
Dy2 0.6176 0.2352 0.5000  3 Tb 3.27-3.46, 2 Sm 3.34, 4 Dy 3.59
Dy3 0.1024 0.2048 0.2949  4 Tb 3.36-3.57, 2 Dy 3.59, 4 Sm 3.62-3.69
Dy4 0.1024 0.2048 0.7051  4 Tb 3.36-3.57, 2 Dy 3.59, 4 Sm 3.62-3.69

Quick one: most stable of them? #b